Material: SiMoCl
Method: DFT, PBE
State: relaxed

abc: 6.129 6.129 6.129
angles: 90.00 90.00 90.00
Space group F-43m (No. 216)
Unique sites:
Si: 0.000 0.000 0.000 (multiplicity 4)
Mo: 0.250 0.250 0.750 (multiplicity 4)
Cl: 0.000 0.000 0.500 (multiplicity 4)

Calculated values
E in eV per atom: -5.38
E_form (uncorrected) in eV per atom: 0.65
Distance to the lowest polymorph of the same formula in meV/atom: 1133



Material: SiMoCl
Method: DFT, PBE
State: relaxed

abc: 3.103 3.299 11.124
angles: 90.22 90.15 90.00
Space group P-1 (No. 2)
Unique sites:
Si: 0.249 0.249 0.440 (multiplicity 2)
Mo: 0.252 0.252 0.673 (multiplicity 2)
Cl: 0.247 0.746 0.159 (multiplicity 2)

Calculated values
E in eV per atom: -6.52
E_form (uncorrected) in eV per atom: -0.48
Distance to the lowest polymorph of the same formula in meV/atom: 0



Material: Si2MoCl
Method: DFT, PBE
State: relaxed

abc: 6.226 6.226 6.226
angles: 90.00 90.00 90.00
Space group F-43m (No. 216)
Unique sites:
Si: 0.000 0.000 0.000 (multiplicity 4)
Si: 0.250 0.250 0.250 (multiplicity 4)
Mo: 0.000 0.000 0.500 (multiplicity 4)
Cl: 0.250 0.250 0.750 (multiplicity 4)

Calculated values
E in eV per atom: -5.27
E_form (uncorrected) in eV per atom: 0.61
Distance to the lowest polymorph of the same formula in meV/atom: 540



Material: Si2MoCl
Method: DFT, PBE
State: relaxed

abc: 7.945 2.813 8.119
angles: 90.00 105.72 90.00
Space group Cm (No. 8)
Unique sites:
Si: 0.000 0.000 0.000 (multiplicity 2)
Si: 0.232 0.000 0.842 (multiplicity 2)
Mo: 0.269 0.500 0.156 (multiplicity 2)
Cl: 0.377 0.000 0.399 (multiplicity 2)

Calculated values
E in eV per atom: -5.77
E_form (uncorrected) in eV per atom: 0.11
Distance to the lowest polymorph of the same formula in meV/atom: 38



Material: Si2MoCl
Method: DFT, PBE
State: relaxed

abc: 9.266 3.030 4.587
angles: 90.00 96.89 90.00
Space group C2/m (No. 12)
Unique sites:
Si: 0.223 0.000 0.203 (multiplicity 4)
Mo: 0.000 0.500 0.000 (multiplicity 2)
Cl: 0.000 0.000 0.500 (multiplicity 2)

Calculated values
E in eV per atom: -5.47
E_form (uncorrected) in eV per atom: 0.42
Distance to the lowest polymorph of the same formula in meV/atom: 345



Material: Ta2SiMoCl
Method: DFT, PBE
State: relaxed

abc: 4.454 4.454 4.569
angles: 90.00 90.00 90.00
Space group P4/mmm (No. 123)
Unique sites:
Ta: 0.000 0.500 0.000 (multiplicity 2)
Si: 0.000 0.000 0.500 (multiplicity 1)
Mo: 0.500 0.500 0.500 (multiplicity 1)
Cl: 0.000 0.000 0.000 (multiplicity 1)

Calculated values
E in eV per atom: -7.05
E_form (uncorrected) in eV per atom: 1.31